[1]
Material: La2Ni12P5
Method: DFT, meta-GGA SCAN
State: PBEsol geometry

Geometry as POSCAR:
```
La2Ni12P5
1.0
10.796 0.000 0.000
0.000 3.638 0.000
-4.004 0.000 12.382
La Ni P
4 24 10
Direct
0.221 0.250 0.183
0.252 0.250 0.688
0.748 0.750 0.312
0.779 0.750 0.817
0.061 0.750 0.297
0.079 0.750 0.990
0.081 0.750 0.490
0.095 0.750 0.805
0.202 0.250 0.418
0.214 0.250 0.939
0.343 0.750 0.062
0.344 0.750 0.364
0.429 0.250 0.514
0.435 0.250 0.948
0.489 0.750 0.651
0.494 0.750 0.841
0.506 0.250 0.159
0.511 0.250 0.349
0.565 0.750 0.052
0.571 0.750 0.486
0.656 0.250 0.636
0.657 0.250 0.938
0.786 0.750 0.061
0.798 0.750 0.582
0.905 0.250 0.195
0.919 0.250 0.510
0.921 0.250 0.010
0.939 0.250 0.703
0.007 0.750 0.628
0.008 0.250 0.879
0.300 0.750 0.516
0.311 0.750 0.888
0.453 0.750 0.241
0.547 0.250 0.759
0.689 0.250 0.112
0.700 0.250 0.484
0.992 0.750 0.121
0.993 0.250 0.372
```

- Space group: P2_1/m
- Energy relative to the elements: -68 kJ per mole of atoms

=====

[2]
Material: LaNiP2
Method: DFT, meta-GGA SCAN
State: PBEsol geometry

Geometry as POSCAR:
```
LaNiP2
1.0
3.329 0.000 0.000
0.000 3.329 0.000
0.000 0.000 6.146
La Ni P
1 1 2
Direct
0.000 0.000 0.000
0.500 0.500 0.376
0.000 0.000 0.496
0.500 0.500 0.726
```

- Space group: P4mm
- Energy relative to the elements: -31 kJ per mole of atoms

=====

- energy relative to the elements of number 2 (LaNiP2)?
  -31 kJ per mole of atoms

=====

- Among the records above, which one has the highest energy relative to the elements?
  LaNiP2